# 1
A relaxed Ge3AuC crystal. Source: the Alexandria database, functional GGA-PBE.

Cell: 4.3404 4.3404 4.3404 Å, 90.00 90.00 90.00°
With the nearest neighbours (Å) after each atom.
Fractional coordinates of all 5 atoms:
Ge 0.0000 0.0000 0.5000  2 C 2.17
Ge 0.0000 0.5000 0.0000  2 C 2.17
Ge 0.5000 0.0000 0.0000  2 C 2.17
Au 0.5000 0.5000 0.5000  12 Ge 3.07
C 0.0000 0.0000 0.0000  6 Ge 2.17

## Properties
Relative energy among the computed polymorphs = 0 meV per atom



# 2
A relaxed GeAuC3 crystal. Source: the Alexandria database, functional GGA-PBE.

Cell: 4.1726 4.1726 4.1726 Å, 90.00 90.00 90.00°
With the nearest neighbours (Å) after each atom.
Fractional coordinates of all 5 atoms:
Ge 0.0000 0.0000 0.0000  12 C 2.95
Au 0.5000 0.5000 0.5000  6 C 2.09
C 0.0000 0.5000 0.5000  2 Au 2.09
C 0.5000 0.0000 0.5000  2 Au 2.09
C 0.5000 0.5000 0.0000  2 Au 2.09

## Properties
Relative energy among the computed polymorphs = 396 meV per atom



# 3
A relaxed GeAuC2 crystal. Source: the Alexandria database, functional GGA-PBE.

Cell: 5.7920 5.7920 5.7920 Å, 130.93 130.93 71.92°
With the nearest neighbours (Å) after each atom.
Fractional coordinates of all 8 atoms:
Ge 0.0000 0.0000 0.0000  4 C 1.98
Ge 0.7500 0.2500 0.5000  4 C 1.98
Au 0.2500 0.7500 0.5000  4 C 2.16
Au 0.5000 0.5000 0.0000  4 C 2.16
C 0.0941 0.6250 0.9691  2 Ge 1.98, 2 Au 2.16
C 0.3750 0.3441 0.4691  2 Ge 1.98, 2 Au 2.16
C 0.6559 0.1250 0.0309  2 Ge 1.98, 2 Au 2.16
C 0.8750 0.9059 0.5309  2 Ge 1.98, 2 Au 2.16



# 4
A relaxed Ge3AuC crystal. Source: the Alexandria database, functional GGA-PBE.

Cell: 4.9738 4.9738 4.9738 Å, 90.00 90.00 90.00°
With the nearest neighbours (Å) after each atom.
Fractional coordinates of all 5 atoms:
Ge 0.0000 0.0000 0.5000  2 Au 2.49
Ge 0.0000 0.5000 0.0000  2 Au 2.49
Ge 0.5000 0.0000 0.0000  2 Au 2.49
Au 0.0000 0.0000 0.0000  6 Ge 2.49
C 0.5000 0.5000 0.5000  12 Ge 3.52

## Properties
Relative energy among the computed polymorphs = 1059 meV per atom



# 5
A relaxed GeAuC3 crystal. Source: the Alexandria database, functional GGA-PBE.

Cell: 3.9854 3.9854 3.9854 Å, 90.00 90.00 90.00°
With the nearest neighbours (Å) after each atom.
Fractional coordinates of all 5 atoms:
Ge 0.0000 0.0000 0.0000  6 C 1.99
Au 0.5000 0.5000 0.5000  12 C 2.82
C 0.0000 0.0000 0.5000  2 Ge 1.99
C 0.0000 0.5000 0.0000  2 Ge 1.99
C 0.5000 0.0000 0.0000  2 Ge 1.99

## Properties
Relative energy among the computed polymorphs = 0 meV per atom



# 6
A relaxed Ge2AuCI crystal. Source: the Alexandria database, functional GGA-PBE.

Cell: 5.5371 5.5371 3.8573 Å, 90.00 90.00 90.00°
With the nearest neighbours (Å) after each atom.
Fractional coordinates of all 5 atoms:
Ge 0.0000 0.5000 0.0000  2 Au 2.77
Ge 0.5000 0.0000 0.0000  2 Au 2.77
Au 0.0000 0.0000 0.0000  2 C 1.93
C 0.0000 0.0000 0.5000  2 Au 1.93
I 0.5000 0.5000 0.5000  8 Ge 3.37

## Properties
Uncorrected formation energy = 5.14 eV/f.u.



# 7
A relaxed Ge2MoAuC crystal. Source: the Alexandria database, functional GGA-PBE.

Cell: 4.8701 4.8701 5.0787 Å, 90.00 90.00 90.00°
With the nearest neighbours (Å) after each atom.
Fractional coordinates of all 5 atoms:
Ge 0.0000 0.5000 0.0000  2 Mo 2.44
Ge 0.5000 0.0000 0.0000  2 Mo 2.44
Mo 0.0000 0.0000 0.0000  4 Ge 2.44, 2 Au 2.54
Au 0.0000 0.0000 0.5000  2 Mo 2.54
C 0.5000 0.5000 0.5000  4 Au 3.44, 8 Ge 3.52



# 8
A relaxed NiGeAu2C crystal. Source: the Alexandria database, functional GGA-PBE.

Cell: 4.8280 4.8280 4.3020 Å, 90.00 90.00 90.00°
With the nearest neighbours (Å) after each atom.
Fractional coordinates of all 5 atoms:
Ni 0.0000 0.0000 0.0000  2 Ge 2.15
Ge 0.0000 0.0000 0.5000  2 Ni 2.15
Au 0.0000 0.5000 0.0000  2 Ni 2.41
Au 0.5000 0.0000 0.0000  2 Ni 2.41
C 0.5000 0.5000 0.5000  8 Au 3.23, 4 Ge 3.41



# 9
A relaxed GeSb2AuC crystal. Source: the Alexandria database, functional GGA-PBE.

Cell: 5.6995 5.6995 3.7768 Å, 90.00 90.00 90.00°
With the nearest neighbours (Å) after each atom.
Fractional coordinates of all 5 atoms:
Ge 0.0000 0.0000 0.0000  8 Sb 3.42, 2 Ge 3.78
Sb 0.0000 0.5000 0.5000  2 Au 2.85
Sb 0.5000 0.0000 0.5000  2 Au 2.85
Au 0.5000 0.5000 0.5000  2 C 1.89
C 0.5000 0.5000 0.0000  2 Au 1.89

## Properties
Uncorrected formation energy = 5.39 eV/f.u.



# 10
A relaxed ScGeAu2C crystal. Source: the Alexandria database, functional GGA-PBE.

Cell: 4.7211 4.7211 5.1789 Å, 90.00 90.00 90.00°
With the nearest neighbours (Å) after each atom.
Fractional coordinates of all 5 atoms:
Sc 0.0000 0.0000 0.0000  2 Ge 2.59
Ge 0.0000 0.0000 0.5000  4 Au 2.36, 2 Sc 2.59
Au 0.0000 0.5000 0.5000  2 Ge 2.36
Au 0.5000 0.0000 0.5000  2 Ge 2.36
C 0.5000 0.5000 0.0000  4 Sc 3.34, 8 Au 3.50

## Properties
Relative energy among the computed polymorphs = 1225 meV per atom



# 11
A relaxed ScGeAu2C crystal. Source: the Alexandria database, functional GGA-PBE.

Cell: 4.3204 4.3204 4.5331 Å, 90.00 90.00 90.00°
With the nearest neighbours (Å) after each atom.
Fractional coordinates of all 5 atoms:
Sc 0.0000 0.0000 0.0000  2 C 2.27
Ge 0.5000 0.5000 0.0000  4 Sc 3.05, 8 Au 3.13
Au 0.0000 0.5000 0.5000  2 C 2.16
Au 0.5000 0.0000 0.5000  2 C 2.16
C 0.0000 0.0000 0.5000  4 Au 2.16, 2 Sc 2.27

## Properties
Relative energy among the computed polymorphs = 0 meV per atom



# 12
A relaxed ScGe2AuC crystal. Source: the Alexandria database, functional GGA-PBE.

Cell: 5.2346 5.2346 4.0922 Å, 90.00 90.00 90.00°
With the nearest neighbours (Å) after each atom.
Fractional coordinates of all 5 atoms:
Sc 0.0000 0.0000 0.0000  2 C 2.05
Ge 0.0000 0.5000 0.0000  2 Sc 2.62
Ge 0.5000 0.0000 0.0000  2 Sc 2.62
Au 0.5000 0.5000 0.5000  8 Ge 3.32, 4 C 3.70
C 0.0000 0.0000 0.5000  2 Sc 2.05



# 13
A relaxed TcGe2AuC crystal. Source: the Alexandria database, functional GGA-PBE.

Cell: 4.3175 4.3175 4.2165 Å, 90.00 90.00 90.00°
With the nearest neighbours (Å) after each atom.
Fractional coordinates of all 5 atoms:
Tc 0.0000 0.0000 0.0000  8 Ge 3.02, 4 Au 3.05
Ge 0.0000 0.5000 0.5000  2 C 2.16
Ge 0.5000 0.0000 0.5000  2 C 2.16
Au 0.5000 0.5000 0.0000  2 C 2.11
C 0.5000 0.5000 0.5000  2 Au 2.11, 4 Ge 2.16



# 14
A relaxed Ti2GeAuC crystal. Source: the Alexandria database, functional GGA-PBE.

Cell: 4.8917 4.8917 3.6896 Å, 90.00 90.00 90.00°
With the nearest neighbours (Å) after each atom.
Fractional coordinates of all 5 atoms:
Ti 0.0000 0.5000 0.0000  2 Ge 2.45
Ti 0.5000 0.0000 0.0000  2 Ge 2.45
Ge 0.0000 0.0000 0.0000  2 C 1.84
Au 0.5000 0.5000 0.5000  8 Ti 3.06
C 0.0000 0.0000 0.5000  2 Ge 1.84



# 15
A relaxed VGe2AuC crystal. Source: the Alexandria database, functional GGA-PBE.

Cell: 4.8078 4.8078 5.0121 Å, 90.00 90.00 90.00°
With the nearest neighbours (Å) after each atom.
Fractional coordinates of all 5 atoms:
V 0.0000 0.0000 0.0000  2 Au 2.51
Ge 0.0000 0.5000 0.5000  2 Au 2.40
Ge 0.5000 0.0000 0.5000  2 Au 2.40
Au 0.0000 0.0000 0.5000  4 Ge 2.40, 2 V 2.51
C 0.5000 0.5000 0.0000  4 V 3.40, 8 Ge 3.47



# 16
A relaxed ZrGeAuC2 crystal. Source: the Alexandria database, functional GGA-PBE.

Cell: 4.0367 4.0367 4.8712 Å, 90.00 90.00 90.00°
With the nearest neighbours (Å) after each atom.
Fractional coordinates of all 5 atoms:
Zr 0.0000 0.0000 0.0000  4 Au 2.85, 8 C 3.16
Ge 0.5000 0.5000 0.5000  4 C 2.02
Au 0.5000 0.5000 0.0000  2 Ge 2.44
C 0.0000 0.5000 0.5000  2 Ge 2.02
C 0.5000 0.0000 0.5000  2 Ge 2.02



# 17
A relaxed ZrGe2AuC crystal. Source: the Alexandria database, functional GGA-PBE.

Cell: 5.2486 5.2486 3.7738 Å, 90.00 90.00 90.00°
With the nearest neighbours (Å) after each atom.
Fractional coordinates of all 5 atoms:
Zr 0.0000 0.0000 0.0000  8 Ge 3.23
Ge 0.0000 0.5000 0.5000  2 Au 2.62
Ge 0.5000 0.0000 0.5000  2 Au 2.62
Au 0.5000 0.5000 0.5000  2 C 1.89
C 0.5000 0.5000 0.0000  2 Au 1.89



# 18
A relaxed PH6AuCI3 crystal. Source: the Alexandria database, functional GGA-PBE.

Cell: 5.8433 8.8938 9.9451 Å, 90.12 90.16 90.33°
With the nearest neighbours (Å) after each atom.
Fractional coordinates of all 24 atoms:
P 0.0000 0.0000 0.0000  3 H 1.41-1.42
P 0.0049 0.5406 0.6165  3 H 1.40-1.41
H 0.0098 0.8426 0.0225  1 P 1.42
H 0.0205 0.4924 0.3808  1 C 1.10
H 0.1635 0.6649 0.4251  1 C 1.10
H 0.1668 0.0883 0.2053  1 C 1.10
H 0.1851 0.0397 0.9163  1 P 1.41
H 0.2010 0.4584 0.6544  1 P 1.41
H 0.8000 0.0294 0.9251  1 P 1.41
H 0.8126 0.4494 0.6453  1 P 1.41
H 0.8561 0.6572 0.4187  1 C 1.10
H 0.8598 0.0802 0.2141  1 C 1.10
H 0.9930 0.6680 0.6999  1 P 1.40
H 0.9985 0.2294 0.1229  1 C 1.10
Au 0.5042 0.0554 0.5622  4 I 2.64-2.92
Au 0.5068 0.5497 0.0189  4 I 2.65-2.92
C 0.0068 0.1100 0.1509  3 H 1.10
C 0.0119 0.5942 0.4430  3 H 1.10
I 0.0043 0.0627 0.5736  2 Au 2.92
I 0.0067 0.5417 0.0136  2 H 2.68-2.99, 2 Au 2.92
I 0.5015 0.8176 0.7224  1 Au 2.65
I 0.5043 0.3137 0.8552  1 Au 2.65, 1 H 2.97
I 0.5068 0.2872 0.3964  1 Au 2.64
I 0.5090 0.7865 0.1821  1 Au 2.66



# 19
A relaxed H12AuC4N crystal. Source: the Alexandria database, functional GGA-PBE.

Cell: 7.8246 7.8246 5.7023 Å, 90.00 90.00 90.00°
With the nearest neighbours (Å) after each atom.
Fractional coordinates of all 36 atoms:
H 0.0197 0.2500 0.0380  1 C 1.10
H 0.0968 0.6346 0.7382  1 C 1.10
H 0.0968 0.8654 0.7382  1 C 1.10
H 0.1346 0.5968 0.2618  1 C 1.10
H 0.1346 0.9032 0.2618  1 C 1.10
H 0.2500 0.0197 0.0380  1 C 1.10
H 0.2500 0.4803 0.0380  1 C 1.10
H 0.3654 0.5968 0.2618  1 C 1.10
H 0.3654 0.9032 0.2618  1 C 1.10
H 0.4032 0.6346 0.7382  1 C 1.10
H 0.4032 0.8654 0.7382  1 C 1.10
H 0.4803 0.2500 0.0380  1 C 1.10
H 0.5197 0.7500 0.9620  1 C 1.10
H 0.5968 0.1346 0.2618  1 C 1.10
H 0.5968 0.3654 0.2618  1 C 1.10
H 0.6346 0.0968 0.7382  1 C 1.10
H 0.6346 0.4032 0.7382  1 C 1.10
H 0.7500 0.5197 0.9620  1 C 1.10
H 0.7500 0.9803 0.9620  1 C 1.10
H 0.8654 0.0968 0.7382  1 C 1.10
H 0.8654 0.4032 0.7382  1 C 1.10
H 0.9032 0.1346 0.2618  1 C 1.10
H 0.9032 0.3654 0.2618  1 C 1.10
H 0.9803 0.7500 0.9620  1 C 1.10
Au 0.2500 0.2500 0.6652  4 H 2.79
Au 0.7500 0.7500 0.3348  4 H 2.79
C 0.0937 0.7500 0.8474  3 H 1.10
C 0.2500 0.5937 0.1526  3 H 1.10
C 0.2500 0.9063 0.1526  3 H 1.10
C 0.4063 0.7500 0.8474  3 H 1.10
C 0.5937 0.2500 0.1526  3 H 1.10
C 0.7500 0.0937 0.8474  3 H 1.10
C 0.7500 0.4063 0.8474  3 H 1.10
C 0.9063 0.2500 0.1526  3 H 1.10
N 0.2500 0.7500 0.0000  4 C 1.50
N 0.7500 0.2500 0.0000  4 C 1.50



# 20
A relaxed TeH12AuC4S3N crystal. Source: the Alexandria database, functional GGA-PBE.

Cell: 6.8226 19.5209 9.3735 Å, 90.00 100.94 90.00°
With the nearest neighbours (Å) after each atom.
Fractional coordinates of all 88 atoms:
Te 0.0053 0.1431 0.3739  3 S 2.31-2.44
Te 0.0053 0.3569 0.8739  3 S 2.31-2.44
Te 0.9947 0.6431 0.1261  3 S 2.31-2.44
Te 0.9947 0.8569 0.6261  3 S 2.31-2.44
H 0.1345 0.1223 0.7976  1 C 1.10
H 0.1345 0.3777 0.2976  1 C 1.10
H 0.2299 0.0658 0.9454  1 C 1.10
H 0.2299 0.4342 0.4454  1 C 1.10
H 0.2517 0.6282 0.5167  1 C 1.10
H 0.2517 0.8718 0.0167  1 C 1.10
H 0.2705 0.2175 0.9478  1 C 1.10
H 0.2705 0.2825 0.4478  1 C 1.10
H 0.2918 0.0515 0.7692  1 C 1.10
H 0.2918 0.4485 0.2692  1 C 1.10
H 0.3487 0.2035 0.7131  1 C 1.10
H 0.3487 0.2965 0.2131  1 C 1.10
H 0.3518 0.5561 0.6276  1 C 1.10
H 0.3518 0.9439 0.1276  1 C 1.10
H 0.3705 0.1599 0.0934  1 C 1.10
H 0.3705 0.3401 0.5934  1 C 1.10
H 0.3866 0.7044 0.7142  1 C 1.10
H 0.3866 0.7956 0.2142  1 C 1.10
H 0.4095 0.5686 0.4486  1 C 1.10
H 0.4095 0.9314 0.9486  1 C 1.10
H 0.4658 0.7195 0.4721  1 C 1.10
H 0.4658 0.7805 0.9721  1 C 1.10
H 0.4939 0.6339 0.8247  1 C 1.10
H 0.4939 0.8661 0.3247  1 C 1.10
H 0.5061 0.1339 0.6753  1 C 1.10
H 0.5061 0.3661 0.1753  1 C 1.10
H 0.5342 0.2195 0.0279  1 C 1.10
H 0.5342 0.2805 0.5279  1 C 1.10
H 0.5905 0.0686 0.0514  1 C 1.10
H 0.5905 0.4314 0.5514  1 C 1.10
H 0.6134 0.2044 0.7858  1 C 1.10
H 0.6134 0.2956 0.2858  1 C 1.10
H 0.6295 0.6599 0.4066  1 C 1.10
H 0.6295 0.8401 0.9066  1 C 1.10
H 0.6482 0.0561 0.8724  1 C 1.10
H 0.6482 0.4439 0.3724  1 C 1.10
H 0.6513 0.7035 0.7869  1 C 1.10
H 0.6513 0.7965 0.2869  1 C 1.10
H 0.7082 0.5515 0.7308  1 C 1.10
H 0.7082 0.9485 0.2308  1 C 1.10
H 0.7295 0.7175 0.5522  1 C 1.10
H 0.7295 0.7825 0.0522  1 C 1.10
H 0.7482 0.1282 0.9833  1 C 1.10
H 0.7482 0.3718 0.4833  1 C 1.10
H 0.7701 0.5658 0.5546  1 C 1.10
H 0.7701 0.9342 0.0546  1 C 1.10
H 0.8655 0.6223 0.7024  1 C 1.10
H 0.8655 0.8777 0.2024  1 C 1.10
Au 0.2411 0.5225 0.9419  2 S 2.31-2.32
Au 0.2411 0.9775 0.4419  2 S 2.31-2.32
Au 0.7589 0.0225 0.5581  2 S 2.31-2.32
Au 0.7589 0.4775 0.0581  2 S 2.31-2.32
C 0.2613 0.0902 0.8469  3 H 1.10
C 0.2613 0.4098 0.3469  3 H 1.10
C 0.3798 0.5937 0.5469  3 H 1.10
C 0.3798 0.9063 0.0469  3 H 1.10
C 0.4010 0.1873 0.9979  3 H 1.10
C 0.4010 0.3127 0.4979  3 H 1.10
C 0.4803 0.1721 0.7556  3 H 1.10
C 0.4803 0.3279 0.2556  3 H 1.10
C 0.5197 0.6721 0.7444  3 H 1.10
C 0.5197 0.8279 0.2444  3 H 1.10
C 0.5990 0.6873 0.5021  3 H 1.10
C 0.5990 0.8127 0.0021  3 H 1.10
C 0.6202 0.0937 0.9531  3 H 1.10
C 0.6202 0.4063 0.4531  3 H 1.10
C 0.7387 0.5902 0.6531  3 H 1.10
C 0.7387 0.9098 0.1531  3 H 1.10
S 0.0454 0.7291 0.2982  1 Te 2.31
S 0.0454 0.7709 0.7982  1 Te 2.31
S 0.1446 0.0513 0.2479  1 Au 2.31, 1 Te 2.44
S 0.1446 0.4487 0.7479  1 Au 2.31, 1 Te 2.44
S 0.3312 0.6015 0.1270  1 Au 2.32, 1 Te 2.43
S 0.3312 0.8985 0.6270  1 Au 2.32, 1 Te 2.43
S 0.6688 0.1015 0.3730  1 Au 2.32, 1 Te 2.43
S 0.6688 0.3985 0.8730  1 Au 2.32, 1 Te 2.43
S 0.8554 0.5513 0.2521  1 Au 2.31, 1 Te 2.44
S 0.8554 0.9487 0.7521  1 Au 2.31, 1 Te 2.44
S 0.9546 0.2291 0.2018  1 Te 2.31
S 0.9546 0.2709 0.7018  1 Te 2.31
N 0.4410 0.1356 0.8883  4 C 1.50
N 0.4410 0.3644 0.3883  4 C 1.50
N 0.5589 0.6356 0.6117  4 C 1.50
N 0.5589 0.8644 0.1117  4 C 1.50



Calculated VASP energy (eV per atom), listed in the same order as above: -4.42; -4.00; -5.27; -3.36; -4.40; -3.63; -4.55; -3.55; -3.99; -3.98; -5.21; -4.41; -5.21; -5.57; -3.87; -5.40; -4.98; -3.72; -5.00; -4.89